ScCrSN2 | Alexandria via LeMat-Bulk | PBE | relaxed; formation energy without anion corrections = -0.360 eV per atom; space-group type = P4/mmm; crystal system = tetragonal; ΔE to the lowest computed polymorph = 0.00 kcal/mol of atoms
1.0
3.687 0.000 0.000
0.000 3.687 0.000
0.000 0.000 4.768
Sc Cr S N
1 1 1 2
direct
0.000 0.000 0.000
0.500 0.500 0.500
0.500 0.500 0.000
0.000 0.500 0.500
0.500 0.000 0.500